1.
Computed, not measured: a relaxed Sc2Pd2S crystal at the GGA-PBE level of DFT.

Structure (POSCAR):
```
Sc2Pd2S
1.0
7.249 0.000 0.000
0.000 7.249 0.000
0.000 0.000 3.466
Sc Pd S
4 4 2
Direct
0.172 0.328 0.000
0.328 0.828 0.000
0.672 0.172 0.000
0.828 0.672 0.000
0.130 0.630 0.500
0.370 0.130 0.500
0.630 0.870 0.500
0.870 0.370 0.500
0.000 0.000 0.500
0.500 0.500 0.500
```

Output
Crystal system = tetragonal
Excess energy over the best structure of this formula in the dataset = 57.4 meV per atom
Space-group type = P4/mbm (127)
Formation energy (no corrections) = -0.804 eV per atom



2.
Computed, not measured: a relaxed SrPmCu4 crystal at the GGA-PBE level of DFT.

Structure (POSCAR):
```
SrPmCu4
1.0
3.947 0.000 0.000
0.000 4.282 0.000
0.000 0.000 7.447
Sr Pm Cu
1 1 4
Direct
0.000 0.000 0.000
0.000 0.500 0.500
0.500 0.000 0.338
0.500 0.000 0.662
0.500 0.500 0.174
0.500 0.500 0.826
```

Output
Crystal system = orthorhombic
Excess energy over the best structure of this formula in the dataset = 0.0 meV per atom
Space-group type = Pmmm (47)
Formation energy = -121 meV/atom



3.
Computed, not measured: a relaxed Re3SbBr crystal at the GGA-PBE level of DFT.

Structure (POSCAR):
```
Re3SbBr
1.0
4.967 0.000 0.000
0.000 4.967 0.000
0.000 0.000 4.967
Re Sb Br
3 1 1
Direct
0.000 0.000 0.500
0.000 0.500 0.000
0.500 0.000 0.000
0.000 0.000 0.000
0.500 0.500 0.500
```

Output
Crystal system = cubic
Excess energy over the best structure of this formula in the dataset = 558.1 meV per atom
Space-group type = Pm-3m (221)
Formation energy (no corrections) = 2.891 eV per atom



4.
Computed, not measured: a relaxed Ac4Ga2B crystal at the GGA-PBE level of DFT.

Structure (POSCAR):
```
Ac4Ga2B
1.0
5.475 0.000 0.000
0.000 5.475 0.000
0.000 0.000 15.851
Ac Ga B
8 4 2
Direct
0.000 0.000 0.183
0.000 0.000 0.817
0.000 0.500 0.000
0.000 0.500 0.500
0.500 0.000 0.000
0.500 0.000 0.500
0.500 0.500 0.317
0.500 0.500 0.683
0.000 0.000 0.380
0.000 0.000 0.620
0.500 0.500 0.120
0.500 0.500 0.880
0.000 0.000 0.000
0.500 0.500 0.500
```

Output
Crystal system = tetragonal
Space-group type = I4/mmm (139)
Formation energy = -90 meV/atom



5.
Computed, not measured: a relaxed Sc4Al2ZnHg crystal at the GGA-PBE level of DFT.

Structure (POSCAR):
```
Sc4Al2ZnHg
1.0
2.418 1.396 7.901
-2.418 1.396 7.901
0.000 -2.793 7.901
Sc Al Zn Hg
4 2 1 1
Direct
0.122 0.122 0.122
0.372 0.372 0.372
0.628 0.628 0.628
0.878 0.878 0.878
0.250 0.250 0.250
0.750 0.750 0.750
0.000 0.000 0.000
0.500 0.500 0.500
```

Output
Crystal system = trigonal
Space-group type = R-3m (166)
Formation energy = -408 meV/atom



6.
Computed, not measured: a relaxed Tb4Co crystal at the GGA-PBE level of DFT.

Structure (POSCAR):
```
Tb4Co
1.0
5.296 0.000 0.000
0.000 5.296 0.000
0.000 0.000 5.296
Tb Co
4 1
Direct
0.000 0.000 0.000
0.000 0.500 0.500
0.500 0.000 0.500
0.500 0.500 0.000
0.500 0.500 0.500
```

Output
Crystal system = cubic
Excess energy over the best structure of this formula in the dataset = 0.0 meV per atom
Space-group type = Pm-3m (221)
Formation energy = 16 meV/atom



7.
Computed, not measured: a relaxed La2AlAgIr crystal at the GGA-PBE level of DFT.

Structure (POSCAR):
```
La2AlAgIr
1.0
7.669 0.000 0.000
0.000 4.477 0.000
-2.706 0.000 7.286
La Al Ag Ir
4 2 2 2
Direct
0.115 0.250 0.345
0.282 0.250 0.960
0.718 0.750 0.040
0.885 0.750 0.655
0.450 0.750 0.343
0.550 0.250 0.657
0.346 0.750 0.655
0.654 0.250 0.345
0.131 0.750 0.106
0.869 0.250 0.894
```

Output
Crystal system = monoclinic
Excess energy over the best structure of this formula in the dataset = 0.0 meV per atom
Space-group type = P2_1/m (11)
Formation energy = -556 meV/atom



8.
Computed, not measured: a relaxed BaLa2Pb crystal at the GGA-PBE level of DFT.

Structure (POSCAR):
```
BaLa2Pb
1.0
12.511 0.000 0.000
0.000 3.761 0.000
-1.091 0.000 6.275
Ba La Pb
2 4 2
Direct
0.000 0.000 0.000
0.500 0.500 0.000
0.228 0.000 0.717
0.272 0.500 0.283
0.728 0.500 0.717
0.772 0.000 0.283
0.000 0.500 0.500
0.500 0.000 0.500
```

Output
Crystal system = monoclinic
Space-group type = C2/m (12)
Formation energy = -205 meV/atom



9.
Computed, not measured: a relaxed CaTe2As crystal at the GGA-PBE level of DFT.

Structure (POSCAR):
```
CaTe2As
1.0
6.218 0.000 0.000
0.000 6.218 0.000
0.000 0.000 6.156
Ca Te As
2 4 2
Direct
0.000 0.000 0.000
0.500 0.500 0.500
0.000 0.500 0.000
0.000 0.500 0.500
0.500 0.000 0.000
0.500 0.000 0.500
0.000 0.000 0.500
0.500 0.500 0.000
```

Output
Crystal system = tetragonal
Space-group type = I4/mmm (139)
Formation energy (no corrections) = -0.600 eV per atom



10.
Computed, not measured: a relaxed TmZnCo2 crystal at the GGA-PBE level of DFT.

Structure (POSCAR):
```
TmZnCo2
1.0
4.105 0.000 0.000
0.000 4.105 0.000
0.000 0.000 3.459
Tm Zn Co
1 1 2
Direct
0.000 0.000 0.000
0.500 0.500 0.000
0.000 0.500 0.500
0.500 0.000 0.500
```

Output
Crystal system = tetragonal
Space-group type = P4/mmm (123)
Formation energy = -67 meV/atom



11.
Computed, not measured: a relaxed Y8Zn2Ga crystal at the GGA-PBE level of DFT.

Structure (POSCAR):
```
Y8Zn2Ga
1.0
8.929 -2.558 0.000
8.929 2.558 0.000
-2.075 0.000 6.615
Y Zn Ga
8 2 1
Direct
0.027 0.027 0.278
0.199 0.199 0.819
0.332 0.332 0.524
0.408 0.408 0.042
0.592 0.592 0.958
0.668 0.668 0.476
0.801 0.801 0.181
0.973 0.973 0.722
0.183 0.183 0.217
0.817 0.817 0.783
0.500 0.500 0.500
```

Output
Crystal system = monoclinic
Space-group type = C2/m (12)
Formation energy = -221 meV/atom



12.
Computed, not measured: a relaxed TiSiSb2O crystal at the GGA-PBE level of DFT.

Structure (POSCAR):
```
TiSiSb2O
1.0
5.123 0.000 0.000
0.000 5.123 0.000
0.000 0.000 3.823
Ti Si Sb O
1 1 2 1
Direct
0.000 0.000 0.000
0.500 0.500 0.000
0.000 0.500 0.500
0.500 0.000 0.500
0.000 0.000 0.500
```

Output
Crystal system = tetragonal
Space-group type = P4/mmm (123)
Formation energy (no corrections) = -0.197 eV per atom



13.
Computed, not measured: a relaxed KLiH2 crystal at the GGA-PBE level of DFT.

Structure (POSCAR):
```
KLiH2
1.0
2.980 0.000 0.000
0.000 2.980 0.000
0.000 0.000 6.117
K Li H
1 1 2
Direct
0.000 0.000 0.000
0.000 0.000 0.500
0.500 0.500 0.283
0.500 0.500 0.717
```

Output
Crystal system = tetragonal
Excess energy over the best structure of this formula in the dataset = 247.5 meV per atom
Space-group type = P4/mmm (123)



14.
Computed, not measured: a relaxed TiAl3Ga2 crystal at the GGA-PBE level of DFT.

Structure (POSCAR):
```
TiAl3Ga2
1.0
2.691 -3.820 0.000
2.691 3.820 0.000
-0.470 0.000 10.105
Ti Al Ga
2 6 4
Direct
0.040 0.960 0.750
0.960 0.040 0.250
0.170 0.296 0.997
0.296 0.170 0.497
0.414 0.586 0.750
0.586 0.414 0.250
0.704 0.830 0.503
0.830 0.704 0.003
0.164 0.618 0.370
0.382 0.836 0.130
0.618 0.164 0.870
0.836 0.382 0.630
```

Output
Crystal system = monoclinic
Space-group type = C2/c (15)
Formation energy = -56 meV/atom



15.
Computed, not measured: a relaxed Sc2Ag2Sb crystal at the GGA-PBE level of DFT.

Structure (POSCAR):
```
Sc2Ag2Sb
1.0
7.336 0.000 0.000
0.000 7.336 0.000
0.000 0.000 3.979
Sc Ag Sb
4 4 2
Direct
0.167 0.333 0.000
0.333 0.833 0.000
0.667 0.167 0.000
0.833 0.667 0.000
0.130 0.630 0.500
0.370 0.130 0.500
0.630 0.870 0.500
0.870 0.370 0.500
0.000 0.000 0.500
0.500 0.500 0.500
```

Output
Crystal system = tetragonal
Excess energy over the best structure of this formula in the dataset = 0.0 meV per atom
Space-group type = P4/mbm (127)
Formation energy (no corrections) = -0.345 eV per atom



16.
Computed, not measured: a relaxed HfVBi2 crystal at the GGA-PBE level of DFT.

Structure (POSCAR):
```
HfVBi2
1.0
3.375 0.000 0.000
-1.688 2.923 0.000
0.000 0.000 31.545
Hf V Bi
3 3 6
Direct
0.000 0.000 0.000
0.333 0.667 0.667
0.667 0.333 0.333
0.000 0.000 0.500
0.333 0.667 0.167
0.667 0.333 0.833
0.000 0.000 0.411
0.000 0.000 0.589
0.333 0.667 0.077
0.333 0.667 0.256
0.667 0.333 0.744
0.667 0.333 0.923
```

Output
Crystal system = trigonal
Excess energy over the best structure of this formula in the dataset = 196.4 meV per atom
Space-group type = R-3m (166)
Formation energy = 490 meV/atom



17.
Computed, not measured: a relaxed PuScIn4 crystal at the GGA-PBE level of DFT.

Structure (POSCAR):
```
PuScIn4
1.0
0.000 4.219 4.219
4.219 0.000 4.219
4.219 4.219 0.000
Pu Sc In
1 1 4
Direct
0.000 0.000 0.000
0.750 0.750 0.750
0.375 0.375 0.375
0.375 0.375 0.875
0.375 0.875 0.375
0.875 0.375 0.375
```

Output
Crystal system = cubic
Excess energy over the best structure of this formula in the dataset = 116.1 meV per atom
Space-group type = F-43m (216)
Formation energy = -107 meV/atom



18.
Computed, not measured: a relaxed PrCuPdAu crystal at the GGA-PBE level of DFT.

Structure (POSCAR):
```
PrCuPdAu
1.0
7.692 0.000 0.000
0.000 4.445 0.000
-2.571 0.000 4.892
Pr Cu Pd Au
2 2 2 2
Direct
0.000 0.000 0.000
0.500 0.500 0.000
0.487 0.000 0.461
0.987 0.500 0.461
0.287 0.500 0.361
0.787 0.000 0.361
0.212 0.000 0.635
0.712 0.500 0.635
```

Output
Crystal system = monoclinic
Excess energy over the best structure of this formula in the dataset = 0.0 meV per atom
Space-group type = Cm (8)
Formation energy = -535 meV/atom



19.
Computed, not measured: a relaxed CeMgSc crystal at the GGA-PBE level of DFT.

Structure (POSCAR):
```
CeMgSc
1.0
3.232 0.000 0.000
-1.616 2.799 0.000
0.000 0.000 8.435
Ce Mg Sc
1 1 1
Direct
0.000 0.000 0.000
0.667 0.333 0.350
0.333 0.667 0.668
```

Output
Crystal system = trigonal
Excess energy over the best structure of this formula in the dataset = 51.3 meV per atom
Space-group type = P3m1 (156)
Formation energy = 56 meV/atom



20.
Computed, not measured: a relaxed SrCoSb2Te crystal at the GGA-PBE level of DFT.

Structure (POSCAR):
```
SrCoSb2Te
1.0
4.895 0.000 0.000
0.000 4.895 0.000
0.000 0.000 5.877
Sr Co Sb Te
1 1 2 1
Direct
0.000 0.000 0.000
0.500 0.500 0.500
0.000 0.500 0.500
0.500 0.000 0.500
0.500 0.500 0.000
```

Output
Crystal system = tetragonal
Excess energy over the best structure of this formula in the dataset = 0.0 meV per atom
Space-group type = P4/mmm (123)
Formation energy (no corrections) = -0.269 eV per atom



21.
Computed, not measured: a relaxed Ce4SnBiO crystal at the GGA-PBE level of DFT.

Structure (POSCAR):
```
Ce4SnBiO
1.0
3.365 -8.409 0.000
3.365 8.409 0.000
0.000 0.000 6.736
Ce Sn Bi O
8 2 2 2
Direct
0.000 0.500 0.000
0.000 0.500 0.500
0.084 0.916 0.750
0.411 0.589 0.750
0.500 0.000 0.000
0.500 0.000 0.500
0.589 0.411 0.250
0.916 0.084 0.250
0.110 0.890 0.250
0.890 0.110 0.750
0.394 0.606 0.250
0.606 0.394 0.750
0.248 0.752 0.750
0.752 0.248 0.250
```

Output
Crystal system = orthorhombic
Space-group type = Cmcm (63)
Formation energy (no corrections) = -1.198 eV per atom



22.
Computed, not measured: a relaxed Tl2NiBiP crystal at the GGA-PBE level of DFT.

Structure (POSCAR):
```
Tl2NiBiP
1.0
5.661 0.000 0.000
0.000 5.661 0.000
0.000 0.000 4.139
Tl Ni Bi P
2 1 1 1
Direct
0.000 0.500 0.000
0.500 0.000 0.000
0.000 0.000 0.500
0.500 0.500 0.500
0.000 0.000 0.000
```

Output
Crystal system = tetragonal
Space-group type = P4/mmm (123)
Formation energy = 273 meV/atom



23.
Computed, not measured: a relaxed Th2CdB crystal at the GGA-PBE level of DFT.

Structure (POSCAR):
```
Th2CdB
1.0
3.653 0.000 0.000
-1.826 3.164 0.000
0.000 0.000 29.876
Th Cd B
6 3 3
Direct
0.000 0.000 0.116
0.000 0.000 0.884
0.333 0.667 0.551
0.333 0.667 0.783
0.667 0.333 0.217
0.667 0.333 0.449
0.000 0.000 0.000
0.333 0.667 0.667
0.667 0.333 0.333
0.000 0.000 0.500
0.333 0.667 0.167
0.667 0.333 0.833
```

Output
Crystal system = trigonal
Space-group type = R-3m (166)
Formation energy = 81 meV/atom



24.
Computed, not measured: a relaxed Ta2VRe crystal at the GGA-PBE level of DFT.

Structure (POSCAR):
```
Ta2VRe
1.0
7.168 0.000 0.000
0.000 7.168 0.000
0.000 0.000 5.473
Ta V Re
8 4 4
Direct
0.243 0.750 0.125
0.250 0.243 0.875
0.250 0.257 0.375
0.257 0.750 0.625
0.743 0.250 0.625
0.750 0.743 0.375
0.750 0.757 0.875
0.757 0.250 0.125
0.000 0.000 0.500
0.000 0.500 0.750
0.500 0.000 0.250
0.500 0.500 0.000
0.000 0.000 0.000
0.000 0.500 0.250
0.500 0.000 0.750
0.500 0.500 0.500
```

Output
Crystal system = tetragonal
Space-group type = I-42d (122)
Formation energy = 636 meV/atom



25.
Computed, not measured: a relaxed Ba2MoH crystal at the GGA-PBE level of DFT.

Structure (POSCAR):
```
Ba2MoH
1.0
7.913 0.000 0.000
0.000 7.913 0.000
0.000 0.000 7.913
Ba Mo H
8 4 4
Direct
0.250 0.250 0.250
0.250 0.250 0.750
0.250 0.750 0.250
0.250 0.750 0.750
0.750 0.250 0.250
0.750 0.250 0.750
0.750 0.750 0.250
0.750 0.750 0.750
0.000 0.000 0.000
0.000 0.500 0.500
0.500 0.000 0.500
0.500 0.500 0.000
0.000 0.000 0.500
0.000 0.500 0.000
0.500 0.000 0.000
0.500 0.500 0.500
```

Output
Crystal system = cubic
Excess energy over the best structure of this formula in the dataset = 224.7 meV per atom
Space-group type = Fm-3m (225)



26.
Computed, not measured: a relaxed Ca2AgPt crystal at the GGA-PBE level of DFT.

Structure (POSCAR):
```
Ca2AgPt
1.0
7.064 0.000 0.000
0.000 7.064 0.000
0.000 0.000 7.064
Ca Ag Pt
8 4 4
Direct
0.000 0.000 0.000
0.000 0.500 0.500
0.250 0.250 0.250
0.250 0.750 0.750
0.500 0.000 0.500
0.500 0.500 0.000
0.750 0.250 0.750
0.750 0.750 0.250
0.000 0.000 0.500
0.000 0.500 0.000
0.500 0.000 0.000
0.500 0.500 0.500
0.250 0.250 0.750
0.250 0.750 0.250
0.750 0.250 0.250
0.750 0.750 0.750
```

Output
Crystal system = cubic
Space-group type = F-43m (216)
Formation energy = -361 meV/atom



27.
Computed, not measured: a relaxed BaNaZn2Se crystal at the GGA-PBE level of DFT.

Structure (POSCAR):
```
BaNaZn2Se
1.0
6.288 0.000 0.000
0.000 6.288 0.000
0.000 0.000 6.062
Ba Na Zn Se
1 1 2 1
Direct
0.000 0.000 0.000
0.500 0.500 0.500
0.000 0.500 0.000
0.500 0.000 0.000
0.000 0.000 0.500
```

Output
Crystal system = tetragonal
Space-group type = P4/mmm (123)
Formation energy (no corrections) = 0.051 eV per atom



Number 1: uncorrected energy -6.24 eV per atom. Number 2: uncorrected energy -3.92 eV per atom. Number 3: uncorrected energy -5.74 eV per atom. Number 4: uncorrected energy -4.26 eV per atom. Number 5: uncorrected energy -4.71 eV per atom. Number 6: uncorrected energy -5.11 eV per atom. Number 7: uncorrected energy -5.62 eV per atom. Number 8: uncorrected energy -4.08 eV per atom. Number 9: uncorrected energy -3.83 eV per atom. Number 10: uncorrected energy -5.06 eV per atom. Number 11: uncorrected energy -5.43 eV per atom. Number 12: uncorrected energy -5.50 eV per atom. Number 13: uncorrected energy -2.45 eV per atom. Number 14: uncorrected energy -4.25 eV per atom. Number 15: uncorrected energy -4.84 eV per atom. Number 16: uncorrected energy -6.22 eV per atom. Number 17: uncorrected energy -5.38 eV per atom. Number 18: uncorrected energy -4.87 eV per atom. Number 19: uncorrected energy -4.56 eV per atom. Number 20: uncorrected energy -4.30 eV per atom. Number 21: uncorrected energy -6.42 eV per atom. Number 22: uncorrected energy -3.69 eV per atom. Number 23: uncorrected energy -5.53 eV per atom. Number 24: uncorrected energy -10.68 eV per atom. Number 25: uncorrected energy -3.50 eV per atom. Number 26: uncorrected energy -3.59 eV per atom. Number 27: uncorrected energy -1.80 eV per atom.